Crystalline GaRe3Se at its relaxed geometry, computed with GGA-PBE.

Properties
* uncorrected formation energy: 1750 meV per atom
* ΔE to the lowest computed polymorph: 0.0000 eV/atom
* E_tot: -35.1 eV/cell
* DOS(E_F): 1.22 states/eV/atom

a = 4.5427 Å, b = 4.5427 Å, c = 4.5427 Å
α = 90.00°, β = 90.00°, γ = 90.00°
Last column: nearest neighbours and their distance in Å.
Fractional coordinates of all 5 atoms:
Ga 0.0000 0.0000 0.0000  12 Re 3.21
Re 0.0000 0.5000 0.5000  2 Se 2.27
Re 0.5000 0.0000 0.5000  2 Se 2.27
Re 0.5000 0.5000 0.0000  2 Se 2.27
Se 0.5000 0.5000 0.5000  6 Re 2.27

***

Crystalline EuGdBi at its relaxed geometry, computed with GGA-PBE.

Properties
* ΔH_f (0 K): -0.4082 eV/atom
* ΔE to the lowest computed polymorph: 0.1635 eV/atom
* E_tot: -29.5 eV/cell
* DOS(E_F): 1.56 states/eV/atom

a = 5.3167 Å, b = 5.3167 Å, c = 4.2474 Å
α = 90.00°, β = 90.00°, γ = 120.00°
Last column: nearest neighbours and their distance in Å.
Fractional coordinates of all 3 atoms:
Eu 0.0000 0.0000 0.0000  3 Bi 3.49, 6 Gd 3.67-3.80
Gd 0.3333 0.6667 0.5273  3 Bi 3.12
Bi 0.6667 0.3333 0.3903  3 Gd 3.12, 3 Eu 3.49

***

Crystalline BaTaAs2Ru at its relaxed geometry, computed with GGA-PBE.

Properties
* ΔH_f (0 K): -0.6442 eV/atom
* E_tot: -35.6 eV/cell
* DOS(E_F): 0.51 states/eV/atom

a = 7.5988 Å, b = 7.5988 Å, c = 7.5988 Å
α = 149.33°, β = 149.33°, γ = 43.93°
Last column: nearest neighbours and their distance in Å.
Fractional coordinates of all 5 atoms:
Ba 0.0000 0.0000 0.0000  8 As 3.42
Ta 0.7500 0.2500 0.5000  4 As 2.59, 4 Ru 2.84
As 0.3655 0.3655 0.0000  2 Ta 2.59, 2 Ru 2.59
As 0.6345 0.6345 0.0000  2 Ta 2.59, 2 Ru 2.59
Ru 0.2500 0.7500 0.5000  4 As 2.59, 4 Ta 2.84

***

Crystalline LiCuSb2 at its relaxed geometry, computed with GGA-PBE.

Properties
* uncorrected formation energy: -78 meV per atom
* ΔE to the lowest computed polymorph: 0.0344 eV/atom
* E_tot: -14.6 eV/cell
* DOS(E_F): 0.25 states/eV/atom

a = 3.2477 Å, b = 3.2477 Å, c = 8.0243 Å
α = 90.00°, β = 90.00°, γ = 90.00°
Last column: nearest neighbours and their distance in Å.
Fractional coordinates of all 4 atoms:
Li 0.0000 0.0000 0.0000  4 Cu 2.61, 5 Sb 2.84-2.86
Cu 0.5000 0.5000 0.8447  4 Li 2.61, 5 Sb 2.81-2.91
Sb 0.0000 0.0000 0.6431  4 Cu 2.81, 1 Li 2.86
Sb 0.5000 0.5000 0.2074  4 Li 2.84, 1 Cu 2.91

***

Crystalline BaPmInAg at its relaxed geometry, computed with GGA-PBE.

Properties
* ΔH_f (0 K): -0.2331 eV/atom
* E_tot: -13.2 eV/cell
* DOS(E_F): 0.80 states/eV/atom

a = 5.6461 Å, b = 5.6461 Å, c = 5.6461 Å
α = 60.00°, β = 60.00°, γ = 60.00°
Last column: nearest neighbours and their distance in Å.
Fractional coordinates of all 4 atoms:
Ba 0.0000 0.0000 0.0000  4 In 3.46, 4 Ag 3.46
Pm 0.5000 0.5000 0.5000  4 In 3.46, 4 Ag 3.46
In 0.7500 0.7500 0.7500  4 Ba 3.46, 4 Pm 3.46
Ag 0.2500 0.2500 0.2500  4 Ba 3.46, 4 Pm 3.46

***

Crystalline TeSeN2Cl at its relaxed geometry, computed with GGA-PBE.

Properties
* uncorrected formation energy: 2126 meV per atom
* ΔE to the lowest computed polymorph: 0.7420 eV/atom
* E_tot: -14.5 eV/cell
* DOS(E_F): 0.42 states/eV/atom

a = 4.1329 Å, b = 4.1329 Å, c = 4.9614 Å
α = 90.00°, β = 90.00°, γ = 90.00°
Last column: nearest neighbours and their distance in Å.
Fractional coordinates of all 5 atoms:
Te 0.0000 0.0000 0.0000  4 Se 2.92, 8 N 3.23
Se 0.5000 0.5000 0.0000  2 Cl 2.48
N 0.0000 0.5000 0.5000  2 Cl 2.07
N 0.5000 0.0000 0.5000  2 Cl 2.07
Cl 0.5000 0.5000 0.5000  4 N 2.07

***

Crystalline Ba5Ca2Ta3O15 at its relaxed geometry, computed with GGA-PBE.

Properties
* uncorrected formation energy: -2934 meV per atom
* E_tot: -393.8 eV/cell
* DOS(E_F): 0.54 states/eV/atom

a = 10.4518 Å, b = 10.4518 Å, c = 10.4518 Å
α = 99.52°, β = 99.52°, γ = 132.00°
Last column: nearest neighbours and their distance in Å.
Fractional coordinates of all 50 atoms:
Ba 0.0472 0.3470 0.9026  9 O 2.81-3.09
Ba 0.1446 0.0472 0.7002  9 O 2.81-3.09
Ba 0.2500 0.7500 0.5000  8 O 2.83-3.11
Ba 0.3470 0.4444 0.2998  9 O 2.81-3.09
Ba 0.4444 0.1446 0.0974  9 O 2.81-3.09
Ba 0.5556 0.8554 0.9026  9 O 2.81-3.09
Ba 0.6530 0.5556 0.7002  9 O 2.81-3.09
Ba 0.7500 0.2500 0.5000  8 O 2.83-3.11
Ba 0.8554 0.9528 0.2998  9 O 2.81-3.09
Ba 0.9528 0.6530 0.0974  9 O 2.81-3.09
Ca 0.2019 0.4001 0.6021  6 O 2.28-2.35
Ca 0.4001 0.7981 0.1982  6 O 2.28-2.35
Ca 0.5999 0.2019 0.8018  6 O 2.28-2.35
Ca 0.7981 0.5999 0.3979  6 O 2.28-2.35
Ta 0.0000 0.0000 0.0000  6 O 2.01-2.10
Ta 0.0979 0.6960 0.7939  5 O 1.92-1.99
Ta 0.3040 0.0979 0.4019  5 O 1.92-1.99
Ta 0.5000 0.5000 0.0000  6 O 1.97-2.15
Ta 0.6960 0.9021 0.5981  5 O 1.92-1.99
Ta 0.9021 0.3040 0.2061  5 O 1.92-1.99
O 0.0474 0.3265 0.3739  1 Ta 1.99
O 0.0562 0.8625 0.9187  1 Ta 2.01
O 0.0588 0.8639 0.3861  1 Ta 1.98
O 0.1267 0.5567 0.6834  1 Ta 1.92
O 0.1361 0.5222 0.1949  1 Ta 1.98
O 0.1375 0.0562 0.1937  1 Ta 2.01
O 0.2393 0.7386 0.9779  1 Ta 1.99
O 0.2468 0.2468 0.0000  2 Ta 2.10-2.15
O 0.2614 0.2393 0.5006  1 Ta 1.99
O 0.3265 0.9526 0.2791  1 Ta 1.99
O 0.3273 0.9412 0.8051  1 Ta 1.98
O 0.3564 0.4745 0.8308  1 Ta 1.97
O 0.4433 0.1267 0.5699  1 Ta 1.92
O 0.4745 0.6436 0.1181  1 Ta 1.97
O 0.4778 0.6727 0.6139  1 Ta 1.98
O 0.5222 0.3273 0.3861  1 Ta 1.98
O 0.5255 0.3564 0.8819  1 Ta 1.97
O 0.5567 0.8733 0.4301  1 Ta 1.92
O 0.6436 0.5255 0.1692  1 Ta 1.97
O 0.6727 0.0588 0.1949  1 Ta 1.98
O 0.6735 0.0474 0.7209  1 Ta 1.99
O 0.7386 0.7607 0.4994  1 Ta 1.99
O 0.7532 0.7532 0.0000  2 Ta 2.10-2.15
O 0.7607 0.2614 0.0221  1 Ta 1.99
O 0.8625 0.9438 0.8063  1 Ta 2.01
O 0.8639 0.4778 0.8051  1 Ta 1.98
O 0.8733 0.4433 0.3166  1 Ta 1.92
O 0.9412 0.1361 0.6139  1 Ta 1.98
O 0.9438 0.1375 0.0813  1 Ta 2.01
O 0.9526 0.6735 0.6261  1 Ta 1.99

***

Crystalline AlGa2Pd at its relaxed geometry, computed with GGA-PBE.

Properties
* ΔH_f (0 K): -0.2052 eV/atom
* E_tot: -15.8 eV/cell
* DOS(E_F): 0.54 states/eV/atom

a = 9.3311 Å, b = 9.3311 Å, c = 9.3311 Å
α = 18.35°, β = 18.35°, γ = 18.35°
Last column: nearest neighbours and their distance in Å.
Fractional coordinates of all 4 atoms:
Al 0.0000 0.0000 0.0000  2 Ga 2.59
Ga 0.0943 0.0943 0.0943  1 Al 2.59, 3 Pd 2.63
Ga 0.9057 0.9057 0.9057  1 Al 2.59, 3 Pd 2.63
Pd 0.5000 0.5000 0.5000  6 Ga 2.63